1.
HoEr2TmS6 | PBE-GGA | optimized geometry Values from VASP.

Geometry as Quantum ESPRESSO input:
```
&SYSTEM
  ibrav = 0, nat = 10, ntyp = 4
/
ATOMIC_SPECIES
Ho 164.93 Ho.upf
Er 167.26 Er.upf
Tm 168.93 Tm.upf
S 32.06 S.upf
CELL_PARAMETERS angstrom
3.4202 1.9747 6.1292
-3.4202 1.9747 6.1292
0.0000 -3.9493 6.1292
ATOMIC_POSITIONS crystal
Ho 0.0000 0.0000 0.0000
Er 0.2994 0.2994 0.2994
Er 0.8001 0.8001 0.8001
Tm 0.4989 0.4989 0.4989
S 0.0985 0.6996 0.4013
S 0.2033 0.5974 0.8977
S 0.4013 0.0985 0.6996
S 0.5974 0.8977 0.2033
S 0.6996 0.4013 0.0985
S 0.8977 0.2033 0.5974
```

Results
Its total energy is -6.357 eV/atom. The space group is R3, No. 146.

***

2.
HoEr2Tm3S6 | PBE-GGA | optimized geometry Values from VASP.

Geometry as Quantum ESPRESSO input:
```
&SYSTEM
  ibrav = 0, nat = 12, ntyp = 4
/
ATOMIC_SPECIES
Ho 164.93 Ho.upf
Er 167.26 Er.upf
Tm 168.93 Tm.upf
S 32.06 S.upf
CELL_PARAMETERS angstrom
8.3959 -1.9240 0.0000
8.3959 1.9240 0.0000
-1.8111 0.0000 7.5232
ATOMIC_POSITIONS crystal
Ho 0.0000 0.0000 0.0000
Er 0.3335 0.3335 0.6672
Er 0.6665 0.6665 0.3328
Tm 0.0000 0.0000 0.5000
Tm 0.3337 0.3337 0.1666
Tm 0.6663 0.6663 0.8334
S 0.1663 0.1663 0.5845
S 0.1677 0.1677 0.0823
S 0.4996 0.4996 0.2527
S 0.5004 0.5004 0.7473
S 0.8323 0.8323 0.9177
S 0.8337 0.8337 0.4155
```

Results
Its total energy is -6.269 eV/atom. The space group is C2/m, No. 12.

***

3.
Ho4ErTmS8 | PBE-GGA | optimized geometry Values from VASP.

Geometry as Quantum ESPRESSO input:
```
&SYSTEM
  ibrav = 0, nat = 14, ntyp = 4
/
ATOMIC_SPECIES
Ho 164.93 Ho.upf
Er 167.26 Er.upf
Tm 168.93 Tm.upf
S 32.06 S.upf
CELL_PARAMETERS angstrom
3.9951 2.3066 6.5202
-3.9951 2.3066 6.5202
0.0000 -4.6132 6.5202
ATOMIC_POSITIONS crystal
Ho 0.0000 0.0000 0.0000
Ho 0.1254 0.6247 0.6247
Ho 0.6247 0.1254 0.6247
Ho 0.6247 0.6247 0.1254
Er 0.6246 0.6246 0.6246
Tm 0.2498 0.2498 0.2498
S 0.3813 0.3813 0.3813
S 0.3822 0.3822 0.8546
S 0.3822 0.8546 0.3822
S 0.3981 0.8664 0.8664
S 0.8546 0.3822 0.3822
S 0.8664 0.3981 0.8664
S 0.8664 0.8664 0.3981
S 0.8675 0.8675 0.8675
```

Results
Its total energy is -6.239 eV/atom. The space group is R3m, No. 160.